Below is an optimized crystal structure of Cs2Hg2Br5, with properties calculated at the PBE level.

Computed properties:
Formation energy from raw total energies: -1.00 eV per atom
E_tot: -2.1846 eV per atom

Cell and atoms, written as CIF:
```
data_Cs2Hg2Br5
_cell_length_a 8.418
_cell_length_b 8.418
_cell_length_c 8.734
_cell_angle_alpha 109.43
_cell_angle_beta 109.43
_cell_angle_gamma 40.58
_space_group_name_H-M_alt 'P 1'
_space_group_IT_number 1
_space_group_name_Hall 'P 1'
loop_
_atom_site_label
_atom_site_type_symbol
_atom_site_fract_x
_atom_site_fract_y
_atom_site_fract_z
Cs1 Cs 0.103 0.103 0.302
Cs2 Cs 0.897 0.897 0.698
Hg1 Hg 0.357 0.357 0.126
Hg2 Hg 0.643 0.643 0.874
Br1 Br 0.153 0.153 0.914
Br2 Br 0.350 0.350 0.436
Br3 Br 0.500 0.500 0.000
Br4 Br 0.650 0.650 0.564
Br5 Br 0.847 0.847 0.086
```